Record 1
A geometry-optimized SrLiBiPt2 structure. Source: Alexandria via LeMat-Bulk, functional PBE.

Computed properties:
As for the total energy: -3.51 eV per atom. The value obtained for the formation enthalpy at 0 K is 402 meV per atom. As for the crystal system: tetragonal. Its space-group type is P4/mmm (123).

Unit cell a=5.2441 b=5.9926 c=5.2441 alpha=90.00 beta=90.00 gamma=90.00
Closest atoms and distances in Å follow each position.
Element x y z (fractional)
1 Li 0.5000 0.5000 0.5000  4 Sr 3.71, 8 Pt 3.98
2 Sr 0.0000 0.5000 0.0000  2 Bi 3.00
3 Pt 0.5000 0.0000 0.0000  2 Bi 2.62
4 Pt 0.0000 0.0000 0.5000  2 Bi 2.62
5 Bi 0.0000 0.0000 0.0000  4 Pt 2.62

Record 2
A geometry-optimized Sr2LiBi3Pt4 structure. Source: Alexandria via LeMat-Bulk, functional PBE.

Computed properties:
As for the total energy: -4.70 eV per atom. The value obtained for the formation enthalpy at 0 K is -591 meV per atom. As for the crystal system: tetragonal. Its space-group type is P-4m2 (115).

Unit cell a=4.7999 b=4.7999 c=10.7891 alpha=90.00 beta=90.00 gamma=90.00
Closest atoms and distances in Å follow each position.
Element x y z (fractional)
1 Sr 0.0000 0.5000 0.7552  8 Pt 3.57-3.69, 6 Bi 3.62-3.65, 2 Li 3.65
2 Sr 0.5000 0.0000 0.2448  8 Pt 3.57-3.69, 6 Bi 3.62-3.65, 2 Li 3.65
3 Pt 0.0000 0.0000 0.0000  4 Bi 2.78
4 Pt 0.0000 0.5000 0.3798  3 Bi 2.70-2.73, 2 Li 2.73
5 Pt 0.5000 0.5000 0.0000  4 Bi 2.78
6 Pt 0.5000 0.0000 0.6202  3 Bi 2.70-2.73, 2 Li 2.73
7 Li 0.5000 0.5000 0.5000  4 Pt 2.73
8 Bi 0.5000 0.0000 0.8707  5 Pt 2.70-2.78
9 Bi 0.0000 0.0000 0.5000  4 Pt 2.73
10 Bi 0.0000 0.5000 0.1293  5 Pt 2.70-2.78

Record 3
A geometry-optimized Sr2LiBiPt structure. Source: Alexandria via LeMat-Bulk, functional PBE.

Computed properties:
As for the total energy: -3.67 eV per atom. The value obtained for the formation enthalpy at 0 K is -626 meV per atom. As for the crystal system: tetragonal. Its space-group type is P4/mmm (123).

Unit cell a=5.8093 b=5.8093 c=4.8098 alpha=90.00 beta=90.00 gamma=90.00
Closest atoms and distances in Å follow each position.
Element x y z (fractional)
1 Bi 0.5000 0.5000 0.5000  8 Sr 3.77, 4 Li 4.11
2 Sr 0.0000 0.5000 0.0000  2 Pt 2.90
3 Sr 0.5000 0.0000 0.0000  2 Pt 2.90
4 Li 0.0000 0.0000 0.5000  2 Pt 2.40
5 Pt 0.0000 0.0000 0.0000  2 Li 2.40

Record 4
A geometry-optimized LiTiBi2Pt structure. Source: Alexandria via LeMat-Bulk, functional PBE.

Computed properties:
As for the total energy: -4.37 eV per atom. The value obtained for the formation enthalpy at 0 K is 347 meV per atom. As for the crystal system: tetragonal. Its space-group type is P4/mmm (123).

Unit cell a=5.0268 b=4.2702 c=5.0268 alpha=90.00 beta=90.00 gamma=90.00
Closest atoms and distances in Å follow each position.
Element x y z (fractional)
1 Bi 0.5000 0.0000 0.0000  2 Li 2.51
2 Bi 0.0000 0.0000 0.5000  2 Li 2.51
3 Ti 0.5000 0.5000 0.5000  8 Bi 3.30, 4 Pt 3.55
4 Pt 0.0000 0.5000 0.0000  2 Li 2.14
5 Li 0.0000 0.0000 0.0000  2 Pt 2.14

Record 5
A geometry-optimized LiYBiPt structure. Source: Alexandria via LeMat-Bulk, functional PBE.

Computed properties:
As for the total energy: -5.23 eV per atom. The value obtained for the formation enthalpy at 0 K is -651 meV per atom. As for the crystal system: cubic. Its space-group type is F-43m (216).

Unit cell a=4.9304 b=4.9304 c=4.9304 alpha=60.00 beta=60.00 gamma=60.00
Closest atoms and distances in Å follow each position.
Element x y z (fractional)
1 Li 0.7500 0.7500 0.7500  4 Bi 3.02, 4 Y 3.02
2 Bi 0.0000 0.0000 0.0000  4 Li 3.02, 4 Pt 3.02
3 Pt 0.2500 0.2500 0.2500  4 Bi 3.02, 4 Y 3.02
4 Y 0.5000 0.5000 0.5000  4 Li 3.02, 4 Pt 3.02

Record 6
A geometry-optimized Li2PuBi structure. Source: Alexandria via LeMat-Bulk, functional PBE.

Computed properties:
As for the total energy: -5.68 eV per atom. The value obtained for the formation enthalpy at 0 K is -166 meV per atom. As for the crystal system: cubic. Its space-group type is Fm-3m (225).

Unit cell a=4.9957 b=4.9957 c=4.9957 alpha=60.00 beta=60.00 gamma=60.00
Closest atoms and distances in Å follow each position.
Element x y z (fractional)
1 Pu 0.0000 0.0000 0.0000  8 Li 3.06
2 Li 0.7500 0.7500 0.7500  4 Pu 3.06, 4 Bi 3.06
3 Li 0.2500 0.2500 0.2500  4 Bi 3.06, 4 Pu 3.06
4 Bi 0.5000 0.5000 0.5000  8 Li 3.06

So what do the calculations give for DOS(E_F)? Going down the list: 3.2 5.0 1.3 4.4 2.6 9.3 states/eV/f.u..
So what do the calculations give for total magnetization? Going down the list: 0.00 0.00 0.00 0.00 0.00 6.66 μB per formula unit.